# 1
{"formula": "Pm3SiS2", "functional": "PBE", "state": "optimized geometry", "polymorph_energy_mev_per_atom": 0.0, "formation_energy_uncorrected_ev_per_atom": -1.64, "magnetic_moment_mub_per_fu": 0.00, "cell": [[-2.0656, 2.9042, 6.1622], [2.0656, -2.9042, 6.1622], [2.0656, 2.9042, -6.1622]], "species": ["Pm", "Pm", "Pm", "Si", "S", "S"], "frac_coords": [[0.0000, 0.0000, 0.0000], [0.3337, 0.3337, 0.0000], [0.6663, 0.6663, 0.0000], [0.5000, 0.0000, 0.5000], [0.1660, 0.6660, 0.5000], [0.8340, 0.3340, 0.5000]]}

=====

# 2
{"formula": "La2CdHPt", "functional": "PBE", "state": "optimized geometry", "dft_energy_ev_per_atom": -4.621, "magnetic_moment_mub_per_fu": 0.00, "cell": [[5.3669, 0.0000, 0.0000], [0.0000, 5.3669, 0.0000], [0.0000, 0.0000, 3.8524]], "species": ["La", "La", "Cd", "H", "Pt"], "frac_coords": [[0.0000, 0.5000, 0.0000], [0.5000, 0.0000, 0.0000], [0.0000, 0.0000, 0.5000], [0.5000, 0.5000, 0.0000], [0.5000, 0.5000, 0.5000]]}

=====

# 3
{"formula": "CaAsP2", "functional": "PBE", "state": "optimized geometry", "magnetic_moment_mub_per_fu": 0.00, "e_form_ev_per_atom": -0.016, "cell": [[-2.2236, 2.2236, 3.9393], [2.2236, -2.2236, 3.9393], [2.2236, 2.2236, -3.9393]], "species": ["Ca", "As", "P", "P"], "frac_coords": [[0.0000, 0.0000, 0.0000], [0.5000, 0.5000, 0.0000], [0.2500, 0.7500, 0.5000], [0.7500, 0.2500, 0.5000]]}

=====

# 4
{"formula": "Ca2NdCu9", "functional": "PBE", "state": "optimized geometry", "magnetic_moment_mub_per_fu": 0.00, "e_form_ev_per_atom": -0.135, "cell": [[2.6123, 1.5082, 8.3851], [-2.6123, 1.5082, 8.3851], [0.0000, -3.0164, 8.3851]], "species": ["Ca", "Ca", "Nd", "Cu", "Cu", "Cu", "Cu", "Cu", "Cu", "Cu", "Cu", "Cu"], "frac_coords": [[0.1429, 0.1429, 0.1429], [0.8571, 0.8571, 0.8571], [0.0000, 0.0000, 0.0000], [0.0851, 0.5791, 0.5791], [0.3318, 0.3318, 0.3318], [0.4209, 0.4209, 0.9149], [0.4209, 0.9149, 0.4209], [0.5000, 0.5000, 0.5000], [0.5791, 0.0851, 0.5791], [0.5791, 0.5791, 0.0851], [0.6682, 0.6682, 0.6682], [0.9149, 0.4209, 0.4209]]}

=====

# 5
{"formula": "CsKTlCd", "functional": "PBE", "state": "optimized geometry", "polymorph_energy_mev_per_atom": 115.4, "magnetic_moment_mub_per_fu": 0.00, "e_form_ev_per_atom": 0.044, "cell": [[0.0000, 4.3013, 4.3013], [4.3013, 0.0000, 4.3013], [4.3013, 4.3013, 0.0000]], "species": ["Cs", "K", "Tl", "Cd"], "frac_coords": [[0.0000, 0.0000, 0.0000], [0.2500, 0.2500, 0.2500], [0.5000, 0.5000, 0.5000], [0.7500, 0.7500, 0.7500]]}

=====

# 6
{"formula": "YZn2Ga", "functional": "PBE", "state": "optimized geometry", "magnetic_moment_mub_per_fu": 0.00, "e_form_ev_per_atom": -0.353, "cell": [[4.1896, 0.0000, 0.0000], [0.0000, 4.1896, 0.0000], [0.0000, 0.0000, 4.4150]], "species": ["Y", "Zn", "Zn", "Ga"], "frac_coords": [[0.0000, 0.0000, 0.0000], [0.0000, 0.5000, 0.5000], [0.5000, 0.0000, 0.5000], [0.5000, 0.5000, 0.0000]]}

=====

# 7
{"formula": "BaH2SeN", "functional": "PBE", "state": "optimized geometry", "polymorph_energy_mev_per_atom": 0.0, "magnetic_moment_mub_per_fu": 0.00, "cell": [[4.1170, 0.0000, 0.0000], [0.0000, 4.1170, 0.0000], [0.0000, 0.0000, 4.1576]], "species": ["Ba", "H", "H", "Se", "N"], "frac_coords": [[0.0000, 0.0000, 0.0000], [0.0000, 0.5000, 0.5000], [0.5000, 0.0000, 0.5000], [0.5000, 0.5000, 0.5000], [0.5000, 0.5000, 0.0000]]}

=====

# 8
{"formula": "Ac3TlPd5", "functional": "PBE", "state": "optimized geometry", "magnetic_moment_mub_per_fu": 0.00, "e_form_ev_per_atom": -0.486, "cell": [[-4.3143, 4.3143, 6.3525], [4.3143, -4.3143, 6.3525], [4.3143, 4.3143, -6.3525]], "species": ["Ac", "Ac", "Ac", "Ac", "Ac", "Ac", "Tl", "Tl", "Pd", "Pd", "Pd", "Pd", "Pd", "Pd", "Pd", "Pd", "Pd", "Pd"], "frac_coords": [[0.1430, 0.6430, 0.7860], [0.2500, 0.2500, 0.0000], [0.3570, 0.1430, 0.5000], [0.6430, 0.8570, 0.5000], [0.7500, 0.7500, 0.0000], [0.8570, 0.3570, 0.2140], [0.2500, 0.7500, 0.5000], [0.7500, 0.2500, 0.5000], [0.0000, 0.0000, 0.0000], [0.0424, 0.1509, 0.5000], [0.1509, 0.6509, 0.1085], [0.3491, 0.4576, 0.5000], [0.4576, 0.9576, 0.1085], [0.5000, 0.5000, 0.0000], [0.5424, 0.0424, 0.8915], [0.6509, 0.5424, 0.5000], [0.8491, 0.3491, 0.8915], [0.9576, 0.8491, 0.5000]]}

=====

# 9
{"formula": "NaPa2H8", "functional": "PBE", "state": "optimized geometry", "dft_energy_ev_per_atom": -4.571, "magnetic_moment_mub_per_fu": 2.38, "cell": [[-1.8999, 2.4700, 5.6443], [1.8999, -2.4700, 5.6443], [1.8999, 2.4700, -5.6443]], "species": ["Na", "Pa", "Pa", "H", "H", "H", "H", "H", "H", "H", "H"], "frac_coords": [[0.0000, 0.0000, 0.0000], [0.3262, 0.3262, 0.0000], [0.6738, 0.6738, 0.0000], [0.0995, 0.8418, 0.2578], [0.1895, 0.6895, 0.5000], [0.2854, 0.5000, 0.7854], [0.4160, 0.1582, 0.2578], [0.5840, 0.8418, 0.7422], [0.7146, 0.5000, 0.2146], [0.8105, 0.3105, 0.5000], [0.9005, 0.1582, 0.7422]]}

=====

# 10
{"formula": "Ho2BeGa", "functional": "PBE", "state": "optimized geometry", "polymorph_energy_mev_per_atom": 738.5, "magnetic_moment_mub_per_fu": 0.00, "e_form_ev_per_atom": 0.481, "cell": [[1.6967, 0.9796, 10.2272], [-1.6967, 0.9796, 10.2272], [0.0000, -1.9592, 10.2272]], "species": ["Ho", "Ho", "Be", "Ga"], "frac_coords": [[0.0945, 0.0945, 0.0945], [0.9055, 0.9055, 0.9055], [0.0000, 0.0000, 0.0000], [0.5000, 0.5000, 0.5000]]}

=====

# 11
{"formula": "ScTa2Co", "functional": "PBE", "state": "optimized geometry", "polymorph_energy_mev_per_atom": 346.2, "magnetic_moment_mub_per_fu": 0.00, "e_form_ev_per_atom": 0.294, "cell": [[0.0000, 3.1984, 3.1984], [3.1984, 0.0000, 3.1984], [3.1984, 3.1984, 0.0000]], "species": ["Sc", "Ta", "Ta", "Co"], "frac_coords": [[0.0000, 0.0000, 0.0000], [0.2500, 0.2500, 0.2500], [0.7500, 0.7500, 0.7500], [0.5000, 0.5000, 0.5000]]}

=====

# 12
{"formula": "SrInSe2N", "functional": "PBE", "state": "optimized geometry", "polymorph_energy_mev_per_atom": 0.0, "formation_energy_uncorrected_ev_per_atom": -0.20, "magnetic_moment_mub_per_fu": 1.99, "cell": [[5.4597, 0.0000, 0.0000], [0.0000, 5.4597, 0.0000], [0.0000, 0.0000, 4.2904]], "species": ["Sr", "In", "Se", "Se", "N"], "frac_coords": [[0.0000, 0.0000, 0.0000], [0.5000, 0.5000, 0.5000], [0.0000, 0.5000, 0.5000], [0.5000, 0.0000, 0.5000], [0.5000, 0.5000, 0.0000]]}

=====

# 13
{"formula": "CsUHgCl6", "functional": "PBE", "state": "optimized geometry", "formation_energy_uncorrected_ev_per_atom": -1.57, "magnetic_moment_mub_per_fu": 1.00, "cell": [[4.2019, -7.3460, 0.0000], [4.2019, 7.3460, 0.0000], [-0.0131, 0.0000, 6.4914]], "species": ["Cs", "U", "Hg", "Cl", "Cl", "Cl", "Cl", "Cl", "Cl"], "frac_coords": [[0.0000, 0.0000, 0.0000], [0.3326, 0.6674, 0.5000], [0.6643, 0.3357, 0.5000], [0.0854, 0.4170, 0.2765], [0.0889, 0.6707, 0.7255], [0.3293, 0.4202, 0.7255], [0.3293, 0.9111, 0.2745], [0.5798, 0.6707, 0.2745], [0.5830, 0.9146, 0.7235]]}

=====

# 14
{"formula": "TbTm4In5", "functional": "PBE", "state": "optimized geometry", "magnetic_moment_mub_per_fu": 0.00, "e_form_ev_per_atom": -0.434, "cell": [[3.6975, 0.0000, 0.0000], [0.0000, 3.6975, 0.0000], [0.0000, 0.0000, 18.9880]], "species": ["Tb", "Tm", "Tm", "Tm", "Tm", "In", "In", "In", "In", "In"], "frac_coords": [[0.0000, 0.0000, 0.0000], [0.0000, 0.0000, 0.2029], [0.0000, 0.0000, 0.4011], [0.0000, 0.0000, 0.5989], [0.0000, 0.0000, 0.7971], [0.5000, 0.5000, 0.1038], [0.5000, 0.5000, 0.3022], [0.5000, 0.5000, 0.5000], [0.5000, 0.5000, 0.6978], [0.5000, 0.5000, 0.8962]]}

=====

# 15
{"formula": "Ho2TlHg", "functional": "PBE", "state": "optimized geometry", "magnetic_moment_mub_per_fu": 0.00, "e_form_ev_per_atom": -0.400, "cell": [[5.3212, 0.0000, 0.0000], [0.0000, 3.7041, 0.0000], [0.0000, 0.0000, 10.6805]], "species": ["Ho", "Ho", "Ho", "Ho", "Tl", "Tl", "Hg", "Hg"], "frac_coords": [[0.2500, 0.0000, 0.1189], [0.2500, 0.0000, 0.6310], [0.7500, 0.0000, 0.3690], [0.7500, 0.0000, 0.8811], [0.2500, 0.5000, 0.3738], [0.7500, 0.5000, 0.6262], [0.2500, 0.5000, 0.8764], [0.7500, 0.5000, 0.1236]]}

=====

# 16
{"formula": "Zn2SbAu2", "functional": "PBE", "state": "optimized geometry", "polymorph_energy_mev_per_atom": 103.0, "formation_energy_uncorrected_ev_per_atom": 0.01, "magnetic_moment_mub_per_fu": 0.00, "cell": [[-1.9819, 1.9819, 6.2444], [1.9819, -1.9819, 6.2444], [1.9819, 1.9819, -6.2444]], "species": ["Zn", "Zn", "Sb", "Au", "Au"], "frac_coords": [[0.0994, 0.0994, 0.0000], [0.9006, 0.9006, 0.0000], [0.5000, 0.5000, 0.0000], [0.2500, 0.7500, 0.5000], [0.7500, 0.2500, 0.5000]]}

=====

# 17
{"formula": "Ti2P2Pd", "functional": "PBE", "state": "optimized geometry", "magnetic_moment_mub_per_fu": 0.00, "e_form_ev_per_atom": -0.911, "cell": [[6.5721, 0.0000, 0.0000], [0.0000, 6.5721, 0.0000], [0.0000, 0.0000, 3.3538]], "species": ["Ti", "Ti", "Ti", "Ti", "P", "P", "P", "P", "Pd", "Pd"], "frac_coords": [[0.1561, 0.3439, 0.0000], [0.3439, 0.8439, 0.0000], [0.6561, 0.1561, 0.0000], [0.8439, 0.6561, 0.0000], [0.1445, 0.6445, 0.5000], [0.3555, 0.1445, 0.5000], [0.6445, 0.8555, 0.5000], [0.8555, 0.3555, 0.5000], [0.0000, 0.0000, 0.5000], [0.5000, 0.5000, 0.5000]]}

=====

# 18
{"formula": "ErTiSn3", "functional": "PBE", "state": "optimized geometry", "magnetic_moment_mub_per_fu": 0.00, "e_form_ev_per_atom": -0.354, "cell": [[13.1979, 0.0000, 0.0000], [0.0000, 5.9652, 0.0000], [0.0000, 0.0000, 6.1514]], "species": ["Er", "Er", "Er", "Er", "Ti", "Ti", "Ti", "Ti", "Sn", "Sn", "Sn", "Sn", "Sn", "Sn", "Sn", "Sn", "Sn", "Sn", "Sn", "Sn"], "frac_coords": [[0.1873, 0.0060, 0.2500], [0.1873, 0.4940, 0.7500], [0.8127, 0.5060, 0.2500], [0.8127, 0.9940, 0.7500], [0.3945, 0.7500, 0.0000], [0.3945, 0.7500, 0.5000], [0.6055, 0.2500, 0.0000], [0.6055, 0.2500, 0.5000], [0.0034, 0.7500, 0.0000], [0.0034, 0.7500, 0.5000], [0.2470, 0.5050, 0.2500], [0.2470, 0.9950, 0.7500], [0.4231, 0.1868, 0.2500], [0.4231, 0.3132, 0.7500], [0.5769, 0.6868, 0.2500], [0.5769, 0.8132, 0.7500], [0.7530, 0.0050, 0.2500], [0.7530, 0.4950, 0.7500], [0.9966, 0.2500, 0.0000], [0.9966, 0.2500, 0.5000]]}

=====

# 19
{"formula": "BeHg2As", "functional": "PBE", "state": "optimized geometry", "polymorph_energy_mev_per_atom": 416.0, "magnetic_moment_mub_per_fu": 0.00, "e_form_ev_per_atom": 0.475, "cell": [[1.5316, -2.9288, 0.0000], [1.5316, 2.9288, 0.0000], [0.0000, 0.0000, 8.9867]], "species": ["Be", "Hg", "Hg", "As"], "frac_coords": [[0.0000, 0.0000, 0.0000], [0.5000, 0.5000, 0.2134], [0.5000, 0.5000, 0.7866], [0.0000, 0.0000, 0.5000]]}

=====

# 20
{"formula": "AcPmPdPt", "functional": "PBE", "state": "optimized geometry", "polymorph_energy_mev_per_atom": 116.4, "magnetic_moment_mub_per_fu": 0.00, "e_form_ev_per_atom": -0.865, "cell": [[0.0000, 3.6953, 3.6953], [3.6953, 0.0000, 3.6953], [3.6953, 3.6953, 0.0000]], "species": ["Ac", "Pm", "Pd", "Pt"], "frac_coords": [[0.0000, 0.0000, 0.0000], [0.5000, 0.5000, 0.5000], [0.2500, 0.2500, 0.2500], [0.7500, 0.7500, 0.7500]]}